# Y2Ho5Th2 (PBE, optimized geometry)
# total magnetization = 0.000 μB per cell
# crystal system = monoclinic
# E above lowest polymorph = 42 meV/atom
# DOS(E_F) = 1.518 states/eV per atom
# formation enthalpy at 0 K = 0.281 eV per atom
data_Y2Ho5Th2
_chemical_formula_sum 'Y4 Ho10 Th4'
_symmetry_space_group_name_H-M 'C 1 2/m 1'
_symmetry_Int_Tables_number 12
_symmetry_space_group_name_Hall '-C 2y'
_cell_length_a 22.4279
_cell_length_b 3.4657
_cell_length_c 7.9590
_cell_angle_alpha 90.00
_cell_angle_beta 98.24
_cell_angle_gamma 90.00
loop_
_atom_site_label
_atom_site_type_symbol
_atom_site_fract_x
_atom_site_fract_y
_atom_site_fract_z
_atom_site_occupancy
Y1 Y 0.1770 0.0000 0.1487 1
Ho1 Ho 0.0000 0.0000 0.0000 1
Ho2 Ho 0.0906 0.0000 0.7289 1
Ho3 Ho 0.1925 0.5000 0.5451 1
Th1 Th 0.0543 0.5000 0.3499 1